Entry 1:
## NaZrSc (PBE)

Data for a relaxed structure of NaZrSc.

abc: 19.0120 8.9000 8.9000
angles: 159.25 160.03 19.97
With the nearest neighbours (Å) after each atom.
Fractional positions:
1 Zr 0.8916 0.4274 0.5726  4 Zr 3.03-3.21, 5 Sc 3.06-3.26
2 Zr 0.1084 0.5726 0.4274  4 Zr 3.03-3.21, 5 Sc 3.06-3.26
3 Na 0.5000 0.0000 0.0000  6 Na 3.21-3.25
4 Na 0.0000 0.0000 0.0000  6 Na 3.21-3.25
5 Sc 0.6118 0.5673 0.4327  5 Zr 3.06-3.26, 4 Sc 3.10-3.21
6 Sc 0.3882 0.4327 0.5673  5 Zr 3.06-3.26, 4 Sc 3.10-3.21

## Properties
Fermi-level density of states   3.59 states/eV/f.u.
Relative energy among the computed polymorphs   117 meV/atom
DFT formation energy   201 meV/atom
Space-group type   C2/m, No. 12

Entry 2:
## NaZrSc (PBE)

Data for a relaxed structure of NaZrSc.

abc: 3.9579 3.9579 10.6147
angles: 90.00 90.00 90.00
With the nearest neighbours (Å) after each atom.
Fractional positions:
1 Na 0.5000 0.0000 0.9115  4 Na 3.37, 4 Zr 3.41
2 Na 0.0000 0.5000 0.0885  4 Na 3.37, 4 Zr 3.41
3 Zr 0.5000 0.0000 0.2726  4 Sc 3.12, 4 Na 3.41
4 Zr 0.0000 0.5000 0.7274  4 Sc 3.12, 4 Na 3.41
5 Sc 0.5000 0.5000 0.5000  4 Sc 2.80, 4 Zr 3.12
6 Sc 0.0000 0.0000 0.5000  4 Sc 2.80, 4 Zr 3.12

## Properties
Fermi-level density of states   4.73 states/eV/f.u.
Relative energy among the computed polymorphs   639 meV/atom
DFT formation energy   723 meV/atom
Space-group type   P4/nmm, No. 129